Computed, not measured: TbErNiGe after structural relaxation at the GGA-PBE level of DFT.

```
TbErNiGe
1.0
4.914 0.000 0.000
2.457 4.256 0.000
2.457 1.419 4.012
Ge Tb Er Ni
1 1 1 1
Direct
0.750 0.750 0.750
0.000 0.000 0.000
0.500 0.500 0.500
0.250 0.250 0.250
```

Summary:
Crystal system = cubic
V = 84 Å³/cell
Electronic total energy = -21.8 eV for the cell shown

***

Computed, not measured: ErTcNiGe2 after structural relaxation at the GGA-PBE level of DFT.

```
ErTcNiGe2
1.0
4.080 0.000 0.000
0.000 4.080 0.000
-2.040 -2.040 5.164
Ge Tc Ni Er
2 1 1 1
Direct
0.377 0.377 0.754
0.623 0.623 0.246
0.750 0.250 0.500
0.250 0.750 0.500
0.000 0.000 0.000
```

Summary:
Crystal system = tetragonal
V = 86 Å³/cell
Electronic total energy = -32.6 eV for the cell shown

***

Computed, not measured: Er2TiNi4Ge3 after structural relaxation at the GGA-PBE level of DFT.

```
Er2TiNi4Ge3
1.0
3.968 0.000 0.000
0.000 3.968 0.000
0.000 0.000 10.235
Ni Ge Ti Er
4 3 1 2
Direct
0.500 0.000 0.641
0.000 0.500 0.359
0.000 0.000 0.000
0.500 0.500 0.000
0.500 0.000 0.869
0.000 0.500 0.131
0.000 0.000 0.500
0.500 0.500 0.500
0.500 0.000 0.237
0.000 0.500 0.763
```

Summary:
Crystal system = tetragonal
V = 161 Å³/cell
Electronic total energy = -60.6 eV for the cell shown

***

Computed, not measured: ErTmNi2Ge2 after structural relaxation at the GGA-PBE level of DFT.

```
ErTmNi2Ge2
1.0
4.196 0.000 0.000
-2.098 3.634 0.000
0.000 0.000 6.998
Tm Ge Ni Er
1 2 2 1
Direct
0.000 0.000 0.500
0.667 0.333 0.747
0.333 0.667 0.253
0.333 0.667 0.744
0.667 0.333 0.256
0.000 0.000 0.000
```

Summary:
Crystal system = trigonal
V = 107 Å³/cell
Electronic total energy = -34.4 eV for the cell shown

***

Computed, not measured: ErTmNiGe after structural relaxation at the GGA-PBE level of DFT.

```
ErTmNiGe
1.0
4.865 0.000 0.000
2.432 4.213 0.000
2.432 1.404 3.972
Tm Er Ni Ge
1 1 1 1
Direct
0.500 0.500 0.500
0.000 0.000 0.000
0.750 0.750 0.750
0.250 0.250 0.250
```

Summary:
Crystal system = cubic
V = 81 Å³/cell
Electronic total energy = -21.7 eV for the cell shown

***

Computed, not measured: YErNiGe after structural relaxation at the GGA-PBE level of DFT.

```
YErNiGe
1.0
-2.917 1.258 -3.742
-4.864 -0.524 0.397
-2.874 3.963 0.354
Y Ni Ge Er
1 1 1 1
Direct
0.500 0.500 0.500
0.750 0.750 0.750
0.250 0.250 0.250
0.000 0.000 0.000
```

Summary:
Crystal system = cubic
V = 84 Å³/cell
Electronic total energy = -23.6 eV for the cell shown

***

Computed, not measured: ErZn2Ni2Ge after structural relaxation at the GGA-PBE level of DFT.

```
ErZn2Ni2Ge
1.0
-0.118 -3.959 1.843
-0.710 -1.802 -3.916
5.422 -0.509 -0.749
Ni Zn Ge Er
2 2 1 1
Direct
0.000 0.500 0.000
0.500 0.000 0.000
0.500 0.500 0.737
0.500 0.500 0.263
0.000 0.000 0.000
0.000 0.000 0.500
```

Summary:
Crystal system = tetragonal
V = 105 Å³/cell
Electronic total energy = -24.3 eV for the cell shown

***

Computed, not measured: ErZn2Ni4Ge after structural relaxation at the GGA-PBE level of DFT.

```
ErZn2Ni4Ge
1.0
4.111 0.000 0.000
2.056 3.561 0.000
2.056 1.187 7.861
Ge Ni Zn Er
1 4 2 1
Direct
0.500 0.500 0.500
0.402 0.402 0.793
0.869 0.869 0.394
0.598 0.598 0.207
0.131 0.131 0.606
0.248 0.248 0.257
0.752 0.752 0.743
0.000 0.000 0.000
```

Summary:
Crystal system = trigonal
V = 115 Å³/cell
Electronic total energy = -37.3 eV for the cell shown

***

Computed, not measured: Er2ZnNi4Ge3 after structural relaxation at the GGA-PBE level of DFT.

```
Er2ZnNi4Ge3
1.0
-2.064 -2.122 2.723
0.565 -3.338 -2.173
8.317 -1.789 4.909
Ni Ge Er Zn
4 3 2 1
Direct
0.000 0.500 0.365
0.500 0.500 0.000
0.500 0.000 0.635
0.000 0.000 0.000
0.000 0.000 0.500
0.000 0.500 0.131
0.500 0.000 0.869
0.500 0.000 0.250
0.000 0.500 0.750
0.500 0.500 0.500
```

Summary:
Crystal system = tetragonal
V = 159 Å³/cell
Electronic total energy = -53.7 eV for the cell shown

***

Computed, not measured: Er2Zn2Ni5Ge after structural relaxation at the GGA-PBE level of DFT.

```
Er2Zn2Ni5Ge
1.0
3.472 0.000 0.000
0.000 9.287 0.000
0.000 0.000 9.287
Ni Zn Er Ge
10 4 4 2
Direct
0.500 0.057 0.801
0.500 0.801 0.943
0.500 0.000 0.500
0.500 0.699 0.443
0.500 0.943 0.199
0.500 0.500 0.000
0.500 0.443 0.301
0.500 0.301 0.557
0.500 0.199 0.057
0.500 0.557 0.699
0.000 0.121 0.621
0.000 0.621 0.879
0.000 0.879 0.379
0.000 0.379 0.121
0.000 0.677 0.177
0.000 0.823 0.677
0.000 0.323 0.823
0.000 0.177 0.323
0.000 0.500 0.500
0.000 0.000 0.000
```

Summary:
Crystal system = tetragonal
V = 299 Å³/cell
Electronic total energy = -96.6 eV for the cell shown

***

Computed, not measured: Er2ZnNi5Ge2 after structural relaxation at the GGA-PBE level of DFT.

```
Er2ZnNi5Ge2
1.0
-1.113 2.872 -1.203
-2.255 -4.348 -8.292
-8.784 -1.970 3.422
Ni Ge Er Zn
10 4 4 2
Direct
0.500 0.051 0.798
0.500 0.202 0.051
0.500 0.500 0.000
0.500 0.000 0.500
0.500 0.798 0.949
0.500 0.449 0.298
0.500 0.551 0.702
0.500 0.949 0.202
0.500 0.702 0.449
0.500 0.298 0.551
0.000 0.876 0.376
0.000 0.124 0.624
0.000 0.376 0.124
0.000 0.624 0.876
0.000 0.175 0.325
0.000 0.825 0.675
0.000 0.325 0.825
0.000 0.675 0.175
0.000 0.000 0.000
0.000 0.500 0.500
```

Summary:
Crystal system = tetragonal
V = 307 Å³/cell
Electronic total energy = -104.2 eV for the cell shown

***

Computed, not measured: ErNpGe2 after structural relaxation at the GGA-PBE level of DFT.

```
ErNpGe2
1.0
-1.975 -1.627 2.047
-0.129 -2.501 -2.113
6.424 -3.331 3.550
Np Ge Er
1 2 1
Direct
0.500 0.500 0.500
0.000 0.000 0.752
0.000 0.000 0.248
0.500 0.500 0.000
```

Summary:
Crystal system = tetragonal
V = 87 Å³/cell
Electronic total energy = -28.2 eV for the cell shown
Relative energy among the computed polymorphs = 0 meV per atom